# 1
Material: PrAl2Ni2
Method: DFT, PBE-GGA
State: relaxed

Structure (POSCAR):
```
PrAl2Ni2
1.0
-1.1085 3.9827 0.4552
-2.6516 -0.3077 -3.7645
-2.2082 -3.2014 3.6323
Pr Al Ni
1 2 2
direct
0.0000 0.0000 0.0000
0.6546 0.5923 0.3092
0.3454 0.4077 0.6908
0.2593 0.8465 0.5187
0.7407 0.1535 0.4813
```

Computed properties:
Excess energy over the best structure of this formula in the dataset: 0.0 kJ/mol of atoms
Calculated formation energy: -0.51 eV/atom
Total magnetization: 0.0 μB per formula unit
Theoretical density: 5.79 g cm⁻³

---

# 2
Material: PrAl2Ni2
Method: DFT, PBE-GGA
State: relaxed

Structure (POSCAR):
```
PrAl2Ni2
1.0
5.4929 -0.4336 -0.0013
-2.2713 5.0201 -0.0013
-1.6092 -2.2910 6.7872
Pr Al Ni
2 4 4
direct
0.8753 0.6247 0.7500
0.1247 0.3753 0.2500
0.2639 0.0141 0.5272
0.5141 0.7639 0.0272
0.7361 0.9859 0.4728
0.4859 0.2361 0.9728
0.1775 0.3225 0.7500
0.4277 0.0723 0.2500
0.5723 0.9277 0.7500
0.8225 0.6775 0.2500
```

Computed properties:
Excess energy over the best structure of this formula in the dataset: 7.1 kJ/mol of atoms
Calculated formation energy: -0.44 eV/atom
Total magnetization: 0.0 μB per formula unit
Theoretical density: 5.75 g cm⁻³